This record from the Alexandria database describes a relaxed Ir3Se crystal. The functional is PBEsol.

extended XYZ file:
```
4
Lattice="3.890 0.000 0.000 0.000 3.890 0.000 0.000 0.000 3.890" Properties=species:S:1:pos:R:3 pbc="T T T"
Ir 0.000 0.000 1.945
Ir 0.000 1.945 0.000
Ir 1.945 0.000 0.000
Se 1.945 1.945 1.945
```

offset from the most stable computed form: 0.234 eV/atom
DOS at the Fermi energy: 0.625 states/eV per atom
size of the total moment: 0.0 μB/f.u.
density: 18.5 g cm⁻³

=====

This record from the Alexandria database describes a relaxed Nb3PRh crystal. The functional is PBEsol.

extended XYZ file:
```
5
Lattice="4.514 0.000 0.000 0.000 4.514 0.000 0.000 0.000 4.514" Properties=species:S:1:pos:R:3 pbc="T T T"
Nb 0.000 0.000 2.257
Nb 0.000 2.257 0.000
Nb 2.257 0.000 0.000
P 0.000 0.000 0.000
Rh 2.257 2.257 2.257
```

E_form: 346 meV/atom
DOS at the Fermi energy: 1.022 states/eV per atom
size of the total moment: 0.0 μB/f.u.
density: 7.5 g cm⁻³

=====

This record from the Alexandria database describes a relaxed POsW2 crystal. The functional is PBEsol.

extended XYZ file:
```
12
Lattice="2.803 0.000 0.000 -1.401 2.427 0.000 0.000 0.000 25.271" Properties=species:S:1:pos:R:3 pbc="T T T"
P 0.000 0.000 0.000
P 0.000 1.618 16.847
P 1.401 0.809 8.424
Os 0.000 0.000 12.635
Os 0.000 1.618 4.212
Os 1.401 0.809 21.059
W 0.000 0.000 6.422
W 0.000 0.000 18.849
W 0.000 1.618 10.425
W 0.000 1.618 23.269
W 1.401 0.809 2.001
W 1.401 0.809 14.846
```

E_form: 115 meV/atom
DOS at the Fermi energy: 0.831 states/eV per atom
size of the total moment: 0.0 μB/f.u.
density: 17.1 g cm⁻³

=====

This record from the Alexandria database describes a relaxed LiAlNO2 crystal. The functional is PBEsol.

extended XYZ file:
```
5
Lattice="3.417 0.000 0.000 0.000 3.417 0.000 0.000 0.000 3.712" Properties=species:S:1:pos:R:3 pbc="T T T"
Li 0.000 0.000 0.000
Al 1.708 1.708 1.856
N 0.000 0.000 1.856
O 0.000 1.708 0.000
O 1.708 0.000 0.000
```

DOS at the Fermi energy: 0.321 states/eV per atom
total energy: -4.815 eV per atom
size of the total moment: 3.0 μB/f.u.
density: 3.1 g cm⁻³

=====

This record from the Alexandria database describes a relaxed MnB3Au crystal. The functional is PBEsol.

extended XYZ file:
```
5
Lattice="3.813 0.000 0.000 0.000 3.813 0.000 0.000 0.000 3.813" Properties=species:S:1:pos:R:3 pbc="T T T"
Mn 0.000 0.000 0.000
B 0.000 0.000 1.907
B 0.000 1.907 0.000
B 1.907 0.000 0.000
Au 1.907 1.907 1.907
```

E_form: 1090 meV/atom
DOS at the Fermi energy: 0.414 states/eV per atom
size of the total moment: 0.0 μB/f.u.
density: 8.5 g cm⁻³

=====

This record from the Alexandria database describes a relaxed Tl4Hg3Sb2As8S20 crystal. The functional is PBEsol.

extended XYZ file:
```
74
Lattice="11.178 0.000 0.000 0.000 11.532 6.639 0.000 -11.532 6.639" Properties=species:S:1:pos:R:3 pbc="T T T"
Tl 0.654 -6.256 6.639
Tl 2.224 2.636 6.578
Tl 3.365 -8.896 6.578
Tl 4.936 5.275 6.639
Tl 6.243 -5.275 6.639
Tl 7.813 8.896 6.578
Tl 8.955 -2.636 6.578
Tl 10.525 6.256 6.639
Hg 0.000 0.000 3.345
Hg 0.797 -1.318 9.949
Hg 4.792 -1.318 3.310
Hg 5.589 0.000 9.985
Hg 6.386 1.318 3.310
Hg 10.382 1.318 9.949
Sb 2.379 -3.577 3.453
Sb 3.210 -3.577 10.092
Sb 7.968 3.577 10.092
Sb 8.799 3.577 3.453
As 1.054 4.576 9.961
As 1.118 -1.133 6.537
As 1.169 10.280 6.781
As 1.229 4.765 3.311
As 4.360 4.765 9.950
As 4.420 -1.252 6.781
As 4.471 10.398 6.537
As 4.535 4.576 3.322
As 6.643 -4.576 3.322
As 6.707 -10.398 6.537
As 6.758 1.252 6.781
As 6.819 -4.765 9.950
As 9.949 -4.765 3.311
As 10.009 -10.280 6.781
As 10.060 1.133 6.537
As 10.124 -4.576 9.961
S 0.201 -2.148 1.970
S 0.234 -3.817 4.812
S 0.311 2.119 11.926
S 0.319 -3.645 8.474
S 1.951 6.104 8.464
S 1.987 0.005 8.320
S 2.041 0.119 4.927
S 2.110 6.119 4.919
S 2.718 -2.804 6.550
S 2.779 3.076 3.296
S 2.810 3.076 9.935
S 2.871 8.727 6.550
S 3.479 -5.412 4.919
S 3.548 0.119 11.566
S 3.603 0.005 1.681
S 3.639 -5.428 8.464
S 5.270 7.886 8.474
S 5.278 2.119 5.287
S 5.355 7.714 4.812
S 5.388 -2.148 8.609
S 5.790 2.148 8.609
S 5.823 -7.714 4.812
S 5.901 -2.119 5.287
S 5.908 -7.886 8.474
S 7.540 5.428 8.464
S 7.576 -0.005 1.681
S 7.630 -0.119 11.566
S 7.699 5.412 4.919
S 8.307 -8.727 6.550
S 8.368 -3.076 9.935
S 8.399 -3.076 3.296
S 8.460 2.804 6.550
S 9.068 -6.119 4.919
S 9.138 -0.119 4.927
S 9.192 -0.005 8.320
S 9.228 -6.104 8.464
S 10.859 3.645 8.474
S 10.867 -2.119 11.926
S 10.944 3.817 4.812
S 10.977 2.148 1.970
```

total energy: -4.256 eV per atom
size of the total moment: 0.0 μB/f.u.
density: 5.6 g cm⁻³

=====

This record from the Alexandria database describes a relaxed K2CuNi crystal. The functional is PBEsol.

extended XYZ file:
```
8
Lattice="4.193 0.000 0.000 0.000 5.467 0.000 0.000 0.000 9.273" Properties=species:S:1:pos:R:3 pbc="T T T"
K 0.000 0.000 0.000
K 0.000 2.733 1.760
K 2.096 0.000 6.397
K 2.096 2.733 4.637
Cu 0.000 2.733 7.406
Cu 2.096 0.000 2.770
Ni 0.000 0.000 3.563
Ni 2.096 2.733 8.200
```

offset from the most stable computed form: 0.012 eV/atom
E_form: 580 meV/atom
DOS at the Fermi energy: 0.485 states/eV per atom
size of the total moment: 0.0 μB/f.u.
density: 3.1 g cm⁻³

=====

This record from the Alexandria database describes a relaxed TaAgTe2 crystal. The functional is PBEsol.

extended XYZ file:
```
4
Lattice="3.468 0.000 0.000 0.000 3.468 0.000 -0.126 0.000 6.967" Properties=species:S:1:pos:R:3 pbc="T T T"
Ta 0.000 0.000 0.000
Ag -0.063 0.000 3.483
Te 1.605 1.734 5.370
Te 1.737 1.734 1.597
```

DOS at the Fermi energy: 0.251 states/eV per atom
total energy: -5.748 eV per atom
size of the total moment: 0.0 μB/f.u.
density: 10.8 g cm⁻³

=====

This record from the Alexandria database describes a relaxed Te3Pb crystal. The functional is PBEsol.

extended XYZ file:
```
8
Lattice="13.418 0.000 0.000 0.000 4.504 0.000 -1.486 0.000 4.254" Properties=species:S:1:pos:R:3 pbc="T T T"
Te 0.000 0.000 0.000
Te 2.985 0.000 1.064
Te 2.237 2.252 3.190
Te 6.709 2.252 0.000
Te 8.946 0.000 3.190
Te 9.694 2.252 1.064
Pb -0.743 2.252 2.127
Pb 5.966 0.000 2.127
```

DOS at the Fermi energy: 0.387 states/eV per atom
total energy: -3.760 eV per atom
size of the total moment: 0.0 μB/f.u.
density: 7.6 g cm⁻³

=====

This record from the Alexandria database describes a relaxed MoPdBr2 crystal. The functional is PBEsol.

extended XYZ file:
```
12
Lattice="3.192 0.000 0.000 -1.596 2.764 0.000 0.000 0.000 25.648" Properties=species:S:1:pos:R:3 pbc="T T T"
Mo 0.000 0.000 0.000
Mo 0.000 1.843 17.098
Mo 1.596 0.921 8.549
Pd 0.000 0.000 12.824
Pd 0.000 1.843 4.275
Pd 1.596 0.921 21.373
Br 0.000 0.000 10.369
Br 0.000 0.000 15.279
Br 0.000 1.843 1.819
Br 0.000 1.843 6.730
Br 1.596 0.921 18.918
Br 1.596 0.921 23.828
```

DOS at the Fermi energy: 0.488 states/eV per atom
total energy: -5.144 eV per atom
size of the total moment: 0.0 μB/f.u.
density: 8.0 g cm⁻³

=====

This record from the Alexandria database describes a relaxed TiMnTe3 crystal. The functional is PBEsol.

extended XYZ file:
```
5
Lattice="5.092 0.000 0.000 0.000 5.092 0.000 0.000 0.000 5.092" Properties=species:S:1:pos:R:3 pbc="T T T"
Ti 0.000 0.000 0.000
Mn 2.546 2.546 2.546
Te 0.000 2.546 2.546
Te 2.546 0.000 2.546
Te 2.546 2.546 0.000
```

DOS at the Fermi energy: 1.486 states/eV per atom
total energy: -5.256 eV per atom
size of the total moment: 5.5 μB/f.u.
density: 6.1 g cm⁻³

=====

This record from the Alexandria database describes a relaxed Ca2LaNi2 crystal. The functional is PBEsol.

extended XYZ file:
```
10
Lattice="7.118 0.000 0.000 0.000 7.118 0.000 0.000 0.000 4.554" Properties=species:S:1:pos:R:3 pbc="T T T"
Ca 1.177 2.382 0.000
Ca 2.382 5.941 0.000
Ca 4.736 1.177 0.000
Ca 5.941 4.736 0.000
La 0.000 0.000 2.277
La 3.559 3.559 2.277
Ni 0.821 4.380 2.277
Ni 2.738 0.821 2.277
Ni 4.380 6.297 2.277
Ni 6.297 2.738 2.277
```

E_form: -78 meV/atom
DOS at the Fermi energy: 0.742 states/eV per atom
size of the total moment: 0.0 μB/f.u.
density: 4.8 g cm⁻³